w:
Material: DyHgSb2
Method: DFT, PBE
State: optimized geometry

a b c (Å): 9.2114 9.2114 9.2114
angles (deg): 27.91 27.91 27.91
Atoms (fractional coordinates):
Dy  0.0000  0.0000  0.0000
Hg  0.5000  0.5000  0.5000
Sb  0.3980  0.3980  0.3980
Sb  0.6020  0.6020  0.6020

The symmetry is R-3m.



x:
Material: DyHgSb2
Method: DFT, PBE
State: optimized geometry

a b c (Å): 4.9391 4.9391 4.2212
angles (deg): 90.00 90.00 90.00
Atoms (fractional coordinates):
Dy  0.0000  0.0000  0.0000
Hg  0.5000  0.5000  0.0000
Sb  0.0000  0.5000  0.5000
Sb  0.5000  0.0000  0.5000

The symmetry is P4/mmm.



Which of them is the most stable? Correct choice: x.



w:
Material: DySc2Hg2
Method: DFT, PBE
State: optimized geometry

a b c (Å): 4.9836 4.9836 6.0917
angles (deg): 90.00 90.00 120.00
Atoms (fractional coordinates):
Dy  0.0000  0.0000  0.0000
Sc  0.3333  0.6667  0.6556
Sc  0.6667  0.3333  0.3444
Hg  0.3333  0.6667  0.1868
Hg  0.6667  0.3333  0.8132

The symmetry is P-3m1.



x:
Material: DySc2Hg2
Method: DFT, PBE
State: optimized geometry

a b c (Å): 13.2178 13.2178 5.0750
angles (deg): 90.00 90.00 164.32
Atoms (fractional coordinates):
Dy  0.1471  0.8529  0.7500
Dy  0.8529  0.1471  0.2500
Sc  0.0488  0.9512  0.2500
Sc  0.2385  0.7615  0.2500
Sc  0.7615  0.2385  0.7500
Sc  0.9512  0.0488  0.7500
Hg  0.3526  0.6474  0.7500
Hg  0.4566  0.5434  0.2500
Hg  0.5434  0.4566  0.7500
Hg  0.6474  0.3526  0.2500

The symmetry is Cmcm.



Which of them is the most stable? Correct choice: x.



w:
Material: DyScHg
Method: DFT, PBE
State: optimized geometry

a b c (Å): 4.9585 4.9585 3.6461
angles (deg): 90.00 90.00 120.00
Atoms (fractional coordinates):
Dy  0.0000  0.0000  0.0000
Sc  0.3333  0.6667  0.4825
Hg  0.6667  0.3333  0.5676

The symmetry is P3m1.



x:
Material: DyScHg
Method: DFT, PBE
State: optimized geometry

a b c (Å): 8.6284 8.6284 8.6284
angles (deg): 33.24 33.24 33.24
Atoms (fractional coordinates):
Dy  0.1215  0.1215  0.1215
Dy  0.8785  0.8785  0.8785
Sc  0.3712  0.3712  0.3712
Sc  0.6288  0.6288  0.6288
Hg  0.2538  0.2538  0.2538
Hg  0.7462  0.7462  0.7462

The symmetry is R-3m.



Which of them is the most stable? Correct choice: w.



w:
Material: DyScHg
Method: DFT, PBE
State: optimized geometry

a b c (Å): 5.0219 5.0219 6.8807
angles (deg): 90.00 90.00 120.00
Atoms (fractional coordinates):
Dy  0.0000  0.0000  0.0000
Dy  0.0000  0.0000  0.5000
Sc  0.3333  0.6667  0.2500
Sc  0.6667  0.3333  0.7500
Hg  0.3333  0.6667  0.7500
Hg  0.6667  0.3333  0.2500

The symmetry is P6_3/mmc.



x:
Material: DyScHg
Method: DFT, PBE
State: optimized geometry

a b c (Å): 6.7108 6.7108 6.7108
angles (deg): 149.84 149.84 43.17
Atoms (fractional coordinates):
Dy  0.0000  0.0000  0.0000
Sc  0.3120  0.3120  0.0000
Hg  0.6703  0.6703  0.0000

The symmetry is I4mm.



Which of them is the most stable? Correct choice: w.



w:
Material: DyScHg2
Method: DFT, PBE
State: optimized geometry

a b c (Å): 5.1267 5.1267 5.1267
angles (deg): 60.00 60.00 60.00
Atoms (fractional coordinates):
Dy  0.0000  0.0000  0.0000
Sc  0.5000  0.5000  0.5000
Hg  0.2500  0.2500  0.2500
Hg  0.7500  0.7500  0.7500

The symmetry is Fm-3m.



x:
Material: DyScHg2
Method: DFT, PBE
State: optimized geometry

a b c (Å): 9.3029 9.3029 9.3029
angles (deg): 22.44 22.44 22.44
Atoms (fractional coordinates):
Dy  0.0000  0.0000  0.0000
Sc  0.5000  0.5000  0.5000
Hg  0.2460  0.2460  0.2460
Hg  0.7540  0.7540  0.7540

The symmetry is R-3m.



Which of them is the most stable? Correct choice: w.



w:
Material: Dy2ScHg2
Method: DFT, PBE
State: optimized geometry

a b c (Å): 6.2404 6.2404 6.2404
angles (deg): 142.85 111.87 80.24
Atoms (fractional coordinates):
Dy  0.2100  0.2100  0.0000
Dy  0.7900  0.7900  0.0000
Sc  0.5000  0.0000  0.5000
Hg  0.2122  0.5000  0.7122
Hg  0.7878  0.5000  0.2878

The symmetry is Immm.



x:
Material: Dy2ScHg2
Method: DFT, PBE
State: optimized geometry

a b c (Å): 3.6872 5.1431 13.4942
angles (deg): 90.00 97.90 90.00
Atoms (fractional coordinates):
Dy  0.0461  0.2500  0.0933
Dy  0.2358  0.2500  0.4720
Dy  0.7642  0.7500  0.5280
Dy  0.9539  0.7500  0.9067
Sc  0.1482  0.7500  0.2969
Sc  0.8518  0.2500  0.7031
Hg  0.3566  0.7500  0.7131
Hg  0.4466  0.2500  0.8914
Hg  0.5534  0.7500  0.1086
Hg  0.6434  0.2500  0.2869

The symmetry is P2_1/m.



Which of them is the most stable? Correct choice: x.



w:
Material: DyScHg4
Method: DFT, PBE
State: optimized geometry

a b c (Å): 3.8361 5.1017 7.4644
angles (deg): 90.00 104.95 90.00
Atoms (fractional coordinates):
Dy  0.0000  0.0000  0.0000
Sc  0.2053  0.5000  0.4132
Hg  0.3316  0.0000  0.6633
Hg  0.5418  0.5000  0.0860
Hg  0.6702  0.0000  0.3403
Hg  0.8669  0.5000  0.7355

The symmetry is Pm.



x:
Material: DyScHg4
Method: DFT, PBE
State: optimized geometry

a b c (Å): 6.2945 6.2945 7.0074
angles (deg): 106.10 106.10 32.02
Atoms (fractional coordinates):
Dy  0.0000  0.0000  0.0000
Sc  0.0000  0.0000  0.5000
Hg  0.3335  0.3335  0.1765
Hg  0.3384  0.3384  0.6582
Hg  0.6616  0.6616  0.3418
Hg  0.6665  0.6665  0.8235

The symmetry is C2/m.



Which of them is the most stable? Correct choice: w.



w:
Material: Dy2HgSe
Method: DFT, PBE
State: optimized geometry

a b c (Å): 7.9272 7.9272 7.9272
angles (deg): 29.12 29.12 29.12
Atoms (fractional coordinates):
Dy  0.2433  0.2433  0.2433
Dy  0.7567  0.7567  0.7567
Hg  0.0000  0.0000  0.0000
Se  0.5000  0.5000  0.5000

The symmetry is R-3m.



x:
Material: Dy2HgSe
Method: DFT, PBE
State: optimized geometry

a b c (Å): 8.2519 8.2519 8.2519
angles (deg): 27.38 27.38 27.38
Atoms (fractional coordinates):
Dy  0.0000  0.0000  0.0000
Dy  0.1830  0.1830  0.1830
Hg  0.4248  0.4248  0.4248
Se  0.5931  0.5931  0.5931

The symmetry is R3m.



Which of them is the most stable? Correct choice: w.



w:
Material: Sm2DyHg
Method: DFT, PBE
State: optimized geometry

a b c (Å): 10.8691 10.8691 10.8691
angles (deg): 19.50 19.50 19.50
Atoms (fractional coordinates):
Sm  0.0000  0.0000  0.0000
Sm  0.1795  0.1795  0.1795
Dy  0.4230  0.4230  0.4230
Hg  0.5897  0.5897  0.5897

The symmetry is R3m.



x:
Material: Sm2DyHg
Method: DFT, PBE
State: optimized geometry

a b c (Å): 5.1862 5.1862 8.9081
angles (deg): 90.00 90.00 90.00
Atoms (fractional coordinates):
Sm  0.2500  0.2500  0.2215
Sm  0.2500  0.7500  0.5000
Sm  0.7500  0.2500  0.5000
Sm  0.7500  0.7500  0.7785
Dy  0.2500  0.2500  0.7810
Dy  0.7500  0.7500  0.2190
Hg  0.2500  0.7500  0.0000
Hg  0.7500  0.2500  0.0000

The symmetry is P4/nmm.



y:
Material: Sm2DyHg
Method: DFT, PBE
State: optimized geometry

a b c (Å): 3.6757 3.6757 8.9218
angles (deg): 90.00 90.00 90.00
Atoms (fractional coordinates):
Sm  0.0000  0.0000  0.2238
Sm  0.0000  0.0000  0.7762
Dy  0.5000  0.5000  0.5000
Hg  0.5000  0.5000  0.0000

The symmetry is P4/mmm.



z:
Material: Sm2DyHg
Method: DFT, PBE
State: optimized geometry

a b c (Å): 5.4745 5.4745 5.4745
angles (deg): 60.00 60.00 60.00
Atoms (fractional coordinates):
Sm  0.2500  0.2500  0.2500
Sm  0.7500  0.7500  0.7500
Dy  0.0000  0.0000  0.0000
Hg  0.5000  0.5000  0.5000

The symmetry is Fm-3m.



Which of them is the most stable? Correct choice: x.



w:
Material: SmDy2Hg
Method: DFT, PBE
State: optimized geometry

a b c (Å): 3.6301 3.6301 8.8982
angles (deg): 90.00 90.00 90.00
Atoms (fractional coordinates):
Sm  0.0000  0.0000  0.0000
Dy  0.5000  0.5000  0.2805
Dy  0.5000  0.5000  0.7195
Hg  0.0000  0.0000  0.5000

The symmetry is P4/mmm.



x:
Material: SmDy2Hg
Method: DFT, PBE
State: optimized geometry

a b c (Å): 4.8424 4.8424 4.8102
angles (deg): 90.00 90.00 90.00
Atoms (fractional coordinates):
Sm  0.0000  0.0000  0.0000
Dy  0.0000  0.5000  0.5000
Dy  0.5000  0.0000  0.5000
Hg  0.5000  0.5000  0.0000

The symmetry is P4/mmm.



y:
Material: SmDy2Hg
Method: DFT, PBE
State: optimized geometry

a b c (Å): 10.8168 10.8168 10.8168
angles (deg): 19.30 19.30 19.30
Atoms (fractional coordinates):
Sm  0.0000  0.0000  0.0000
Dy  0.2420  0.2420  0.2420
Dy  0.7580  0.7580  0.7580
Hg  0.5000  0.5000  0.5000

The symmetry is R-3m.



Which of them is the most stable? Correct choice: w.



w:
Material: Sm3DyHg
Method: DFT, PBE
State: optimized geometry

a b c (Å): 6.8221 6.8221 8.0094
angles (deg): 107.24 107.24 67.04
Atoms (fractional coordinates):
Sm  0.0582  0.0582  0.2369
Sm  0.0899  0.5881  0.3562
Sm  0.4119  0.9101  0.6438
Sm  0.5881  0.0899  0.3562
Sm  0.9101  0.4119  0.6438
Sm  0.9418  0.9418  0.7631
Dy  0.4392  0.4392  0.7585
Dy  0.5608  0.5608  0.2415
Hg  0.2579  0.2579  0.9996
Hg  0.7421  0.7421  0.0004

The symmetry is C2/m.



x:
Material: Sm3DyHg
Method: DFT, PBE
State: optimized geometry

a b c (Å): 15.0831 15.0831 5.5640
angles (deg): 90.15 90.15 14.17
Atoms (fractional coordinates):
Sm  0.0484  0.0484  0.2438
Sm  0.1291  0.1291  0.7473
Sm  0.3388  0.3388  0.7515
Sm  0.6612  0.6612  0.2485
Sm  0.8709  0.8709  0.2527
Sm  0.9516  0.9516  0.7562
Dy  0.2667  0.2667  0.2504
Dy  0.7333  0.7333  0.7496
Hg  0.4590  0.4590  0.2589
Hg  0.5410  0.5410  0.7411

The symmetry is C2/m.



Which of them is the most stable? Correct choice: x.



w:
Material: Sm4DyHg
Method: DFT, PBE
State: optimized geometry

a b c (Å): 8.3266 8.3266 6.4499
angles (deg): 100.02 100.02 115.51
Atoms (fractional coordinates):
Sm  0.0896  0.7120  0.9529
Sm  0.1663  0.4000  0.6241
Sm  0.2880  0.9104  0.5471
Sm  0.4000  0.1663  0.1241
Sm  0.6000  0.8337  0.8759
Sm  0.7120  0.0896  0.4529
Sm  0.8337  0.6000  0.3759
Sm  0.9104  0.2880  0.0471
Dy  0.4080  0.5920  0.2500
Dy  0.5920  0.4080  0.7500
Hg  0.0012  0.9988  0.2500
Hg  0.9988  0.0012  0.7500

The symmetry is C2/c.



x:
Material: Sm4DyHg
Method: DFT, PBE
State: optimized geometry

a b c (Å): 3.6442 3.6442 14.1358
angles (deg): 90.00 90.00 90.00
Atoms (fractional coordinates):
Sm  0.0000  0.0000  0.1441
Sm  0.0000  0.0000  0.8559
Sm  0.5000  0.5000  0.3233
Sm  0.5000  0.5000  0.6767
Dy  0.0000  0.0000  0.5000
Hg  0.5000  0.5000  0.0000

The symmetry is P4/mmm.



Which of them is the most stable? Correct choice: x.